Entry 1:
# YOs2Ru

An optimized crystal structure of YOs2Ru (PBE, Alexandria via LeMat-Bulk).

Cell lengths 4.947, 4.947, 5.128 Å; angles 77.18, 77.18, 34.34 degrees
Fractional positions:
Y: 0.750 0.750 0.733
Os: 0.249 0.249 0.220
Ru: 0.517 0.517 0.472
Os: 0.984 0.984 0.075

Summary:
Energy relative to the lowest polymorph listed for this composition, meV per atom: 34

Entry 2:
# YOs2Ru

An optimized crystal structure of YOs2Ru (PBE, Alexandria via LeMat-Bulk).

Cell lengths 4.621, 2.893, 5.193 Å; angles 78.43, 90.00, 90.00 degrees
Fractional positions:
Ru: 0.500 0.250 0.250
Os: 0.000 0.078 0.032
Y: 0.500 0.750 0.750
Os: 0.000 0.422 0.468

Summary:
Energy relative to the lowest polymorph listed for this composition, meV per atom: 186

Entry 3:
# Y4OsRu

An optimized crystal structure of Y4OsRu (PBE, Alexandria via LeMat-Bulk).

Cell lengths 5.824, 5.824, 5.824 Å; angles 60.00, 60.00, 60.00 degrees
Last column: magnetic moment on the atom in μB.
Fractional positions:
Y: 0.375 0.874 0.375  -0.04
Ru: 0.000 0.000 0.000  0.33
Y: 0.874 0.375 0.375  -0.04
Os: 0.750 0.750 0.750  0.17
Y: 0.375 0.375 0.874  -0.04
Y: 0.375 0.375 0.375  -0.04

Summary:
Energy relative to the lowest polymorph listed for this composition, meV per atom: 1362

Entry 4:
# ZnOs2Ru

An optimized crystal structure of ZnOs2Ru (PBE, Alexandria via LeMat-Bulk).

Cell lengths 8.965, 8.965, 8.965 Å; angles 17.52, 17.52, 17.52 degrees
Fractional positions:
Zn: 0.750 0.750 0.750
Os: 0.998 0.998 0.998
Ru: 0.250 0.250 0.250
Os: 0.502 0.502 0.502

Entry 5:
# ZnOs2Ru

An optimized crystal structure of ZnOs2Ru (PBE, Alexandria via LeMat-Bulk).

Cell lengths 2.697, 2.697, 9.096 Å; angles 90.00, 90.00, 118.44 degrees
Last column: magnetic moment on the atom in μB.
Fractional positions:
Os: 0.000 0.000 0.999  0.22
Os: 0.000 0.000 0.501  0.22
Zn: 0.500 0.500 0.750  0.00
Ru: 0.500 0.500 0.250  0.64

Entry 6:
# ZnOsRu3

An optimized crystal structure of ZnOsRu3 (PBE, Alexandria via LeMat-Bulk).

Cell lengths 4.372, 4.372, 4.372 Å; angles 90.00, 90.00, 90.00 degrees
Fractional positions:
Ru: 0.500 0.000 0.000
Os: 0.500 0.500 0.500
Ru: 0.000 0.500 0.000
Zn: 0.000 0.000 0.000
Ru: 0.000 0.000 0.500

Summary:
Energy relative to the lowest polymorph listed for this composition, meV per atom: 247

Entry 7:
# Zn3OsRu

An optimized crystal structure of Zn3OsRu (PBE, Alexandria via LeMat-Bulk).

Cell lengths 4.706, 4.706, 4.706 Å; angles 90.00, 90.00, 90.00 degrees
Last column: magnetic moment on the atom in μB.
Fractional positions:
Zn: 0.500 0.000 0.000  -0.01
Os: 0.000 0.000 0.000  0.52
Ru: 0.500 0.500 0.500  2.35
Zn: 0.000 0.500 0.000  -0.01
Zn: 0.000 0.000 0.500  0.00

Summary:
Energy relative to the lowest polymorph listed for this composition, meV per atom: 0

Entry 8:
# ZnOs2Ru

An optimized crystal structure of ZnOs2Ru (PBE, Alexandria via LeMat-Bulk).

Cell lengths 2.720, 2.720, 7.693 Å; angles 90.00, 90.00, 90.00 degrees
Fractional positions:
Os: 0.000 0.000 0.494
Zn: 0.500 0.500 0.750
Ru: 0.500 0.500 0.250
Os: 0.000 0.000 0.006

| no. | total moment (μB per atom) | formation energy from the elements (meV/atom) |
| --- | --- | --- |
| 1 | 0.00 | 233 |
| 2 | 0.00 | 385 |
| 3 | 0.06 | 1081 |
| 4 | 0.00 | 158 |
| 5 | 0.28 | 450 |
| 6 | 0.00 | 1902 |
| 7 | 0.59 | 1309 |
| 8 | 0.00 | 232 |